Entry 1:
Compound: LaNiSe2S
Source: Alexandria
Functional: PBE
Structure: relaxed

Energy, eV/cell: -26.61
Crystal system: tetragonal
Volume, Å³ per atom: 20.91
Calculated density, g/cm³: 6.2

```
5
Lattice="-4.014 -0.338 2.666 -2.329 -1.145 -3.651 0.958 -4.658 0.851" Properties=species:S:1:pos:R:3 pbc="T T T"
Ni 0.000 0.000 0.000
S -1.164 -0.573 -1.825
Se 0.479 -2.329 0.425
Se -2.007 -0.169 1.333
La -2.693 -3.071 -0.067
```


Entry 2:
Compound: BeNbSbPIr
Source: Alexandria
Functional: PBE
Structure: relaxed

Crystal system: trigonal
Offset from the most stable computed form, meV/atom: 232
Volume, Å³ per atom: 20.03
Calculated density, g/cm³: 7.4

```
15
Lattice="-3.125 -1.332 -2.533 0.045 -1.132 4.083 -10.322 15.714 4.469" Properties=species:S:1:pos:R:3 pbc="T T T"
Sb -0.308 0.469 0.133
Sb -8.201 9.746 4.991
Sb -5.817 4.442 1.295
Nb -8.967 13.651 3.883
Nb -6.538 7.215 4.271
Nb -4.154 1.910 0.575
Ir -7.684 11.698 3.327
Ir -5.255 5.262 3.715
Ir -2.871 -0.043 0.020
Be -4.565 6.950 1.977
Be -2.136 0.514 2.365
Be -10.074 10.922 3.139
P -5.758 8.766 2.493
P -3.329 2.330 2.881
P -11.267 12.738 3.655
```


Entry 3:
Compound: Cu2AuBr
Source: Alexandria
Functional: PBE
Structure: relaxed

Crystal system: orthorhombic
Offset from the most stable computed form, meV/atom: 0
Volume, Å³ per atom: 18.72
Calculated density, g/cm³: 9.0

```
4
Lattice="3.258 0.000 0.000 0.000 3.571 -0.038 0.000 0.070 6.435" Properties=species:S:1:pos:R:3 pbc="T T T"
Au 1.629 0.910 1.599
Br 1.629 2.731 4.797
Cu 0.000 2.682 0.354
Cu 0.000 2.710 2.806
```